1.
Ba2LiInRh | GGA-PBE | optimized geometry

Cell: 5.805 4.847 5.805 Å, 90.00 90.00 90.00°
Element x y z (fractional)
1 Li 0.000 0.000 0.000
2 Rh 0.500 0.500 0.500
3 Ba 0.000 0.000 0.500
4 Ba 0.500 0.000 0.000
5 In 0.000 0.500 0.000

Values from the calculation:
- V: 32.671 A^3/atom
- Formation energy: 359 meV per atom
- Excess energy over the best structure of this formula in the dataset: 551.9 meV/atom

=====

2.
BaLiInS3 | GGA-PBE | optimized geometry

Cell: 4.201 7.444 9.869 Å, 90.00 90.00 106.39°
Element x y z (fractional)
1 Ba 0.749 0.498 0.750
2 Ba 0.251 0.502 0.250
3 Li 0.000 0.000 0.500
4 Li 0.000 0.000 0.000
5 In 0.471 0.941 0.750
6 In 0.529 0.059 0.250
7 S 0.635 0.270 0.443
8 S 0.365 0.730 0.557
9 S 0.365 0.730 0.943
10 S 0.635 0.270 0.057
11 S 0.070 0.141 0.750
12 S 0.930 0.859 0.250

Values from the calculation:
- V: 24.673 A^3/atom
- E_form (uncorrected): -1.221 eV/atom

=====

3.
Ba2LiInS | GGA-PBE | optimized geometry

Cell: 6.256 6.256 4.553 Å, 90.00 90.00 90.00°
Element x y z (fractional)
1 S 0.000 0.000 0.000
2 Li 0.000 0.000 0.500
3 Ba 0.000 0.500 0.000
4 Ba 0.500 0.000 0.000
5 In 0.500 0.500 0.500

Values from the calculation:
- V: 35.641 A^3/atom
- E_form (uncorrected): -0.901 eV/atom